Computed, not measured: an optimized crystal structure of TmTaP2 at the PBE-GGA level of DFT.

Calculated values
ΔE to the lowest computed polymorph (kJ/mol of formula units): 29
E_tot (Ha/atom): -0.2886
N(E_F) (states/eV/f.u.): 1.518
ΔH_f (0 K) (eV per atom): -1.067

abc: 3.714 3.714 6.531
angles: 73.48 73.48 60.00
Fractional coordinates of all 4 atoms:
P 0.257 0.257 0.228
P 0.743 0.743 0.772
Ta 0.000 0.000 0.000
Tm 0.500 0.500 0.500